1.
This record from Alexandria via LeMat-Bulk describes a relaxed Li3Pt2O6 crystal. The functional is PBE-GGA.

Structure (POSCAR):
```
Li3Pt2O6
1.0
5.089 0.000 1.536
2.545 4.541 0.768
0.348 0.000 5.127
Pt O Li
2 6 3
Direct
0.832 0.336 0.500
0.168 0.664 0.500
0.215 0.000 0.256
0.048 0.369 0.739
0.582 0.369 0.261
0.952 0.631 0.261
0.785 0.000 0.744
0.418 0.631 0.739
0.650 0.699 0.000
0.350 0.301 0.000
0.000 0.000 0.000
```

Properties
For the uncorrected formation energy, the calculation gives -1173 kJ/mol of formula units. The calculation puts the density of states at the Fermi level at 0.84 states/eV/atom. The total energy is -5.4295 eV per atom. The calculation puts the volume at 116.0 Å³ per cell.

---

2.
This record from Alexandria via LeMat-Bulk describes a relaxed Li2PtO3 crystal. The functional is PBE-GGA.

Structure (POSCAR):
```
Li2PtO3
1.0
5.141 -0.016 -0.941
-2.003 4.734 -0.941
0.021 0.032 9.590
Li Pt O
8 4 12
Direct
0.668 0.168 0.336
0.500 0.000 0.001
0.750 0.750 0.499
0.832 0.332 0.664
0.582 0.582 0.164
0.250 0.250 0.501
0.418 0.418 0.836
0.000 0.500 0.999
0.917 0.917 0.834
0.167 0.667 0.334
0.333 0.833 0.666
0.083 0.083 0.166
0.932 0.911 0.327
0.089 0.068 0.673
0.585 0.606 0.673
0.161 0.682 0.827
0.016 0.516 0.500
0.856 0.335 0.173
0.766 0.766 0.000
0.234 0.234 0.000
0.318 0.839 0.173
0.394 0.415 0.327
0.665 0.144 0.827
0.484 0.984 0.500
```

Properties
For the uncorrected formation energy, the calculation gives -770 kJ/mol of formula units. The calculation puts the density of states at the Fermi level at 0.00 states/eV/atom. The total energy is -5.4548 eV per atom. The calculation puts the volume at 233.4 Å³ per cell.

---

3.
This record from Alexandria via LeMat-Bulk describes a relaxed Li5PtO6 crystal. The functional is PBE-GGA.

Structure (POSCAR):
```
Li5PtO6
1.0
-4.794 1.696 -0.610
2.033 -3.223 -3.421
-0.696 -3.188 3.889
Li O Pt
5 6 1
Direct
0.824 0.176 0.500
0.668 0.332 0.000
0.500 0.500 0.500
0.332 0.668 0.000
0.176 0.824 0.500
0.394 0.080 0.239
0.606 0.920 0.761
0.233 0.233 0.764
0.080 0.394 0.239
0.767 0.767 0.236
0.920 0.606 0.761
0.000 0.000 0.000
```

Properties
For the uncorrected formation energy, the calculation gives -1558 kJ/mol of formula units. The calculation puts the density of states at the Fermi level at 0.53 states/eV/atom. The total energy is -5.1255 eV per atom. The calculation puts the volume at 108.3 Å³ per cell.